No. 1
Material: Co2PbCl
Method: DFT, GGA-PBEsol
State: relaxed

Cell: 4.591 4.591 4.591 Å, 60.00 60.00 60.00°
Each line ends with the local moment (μB).
Fractional positions:
Co  0.250  0.250  0.250  1.74
Cl  0.500  0.500  0.500  0.04
Co  0.000  0.000  0.000  1.60
Pb  0.750  0.750  0.750  -0.04

Results
**ΔE_f (raw)**: 0.905 eV per atom
**E_tot**: -4.465 eV/atom

---

No. 2
Material: CoPdCl2
Method: DFT, GGA-PBEsol
State: relaxed

Cell: 3.246 3.246 7.657 Å, 77.76 77.76 60.00°
Each line ends with the local moment (μB).
Fractional positions:
Pd  0.000  0.000  0.000  -0.05
Cl  0.897  0.897  0.310  0.12
Cl  0.103  0.103  0.690  0.12
Co  0.500  0.500  0.500  2.04

Results
**ΔE_f (raw)**: -0.087 eV per atom
**E_tot**: -4.515 eV/atom

---

No. 3
Material: Co2PtCl
Method: DFT, GGA-PBEsol
State: relaxed

Cell: 2.759 4.330 4.454 Å, 90.00 90.00 90.00°
Each line ends with the local moment (μB).
Fractional positions:
Pt  0.000  0.000  0.590  0.31
Co  0.500  0.000  0.081  1.48
Cl  0.500  0.500  0.164  0.09
Co  0.500  0.500  0.666  1.55

Results
**ΔE_f (raw)**: 0.268 eV per atom
**E_tot**: -5.843 eV/atom

---

No. 4
Material: CoPtCl
Method: DFT, GGA-PBEsol
State: relaxed

Cell: 2.802 2.802 6.207 Å, 103.05 103.05 90.00°
Each line ends with the local moment (μB).
Fractional positions:
Pt  0.304  0.304  0.608  0.50
Cl  0.035  0.035  0.069  0.23
Co  0.662  0.662  0.323  2.17

Results
**ΔE_f (raw)**: 0.285 eV per atom
**E_tot**: -5.284 eV/atom

---

M_tot per entry: 3.183 2.278 3.417 2.960 μB/f.u.